Entry 1:
## LaAuC (PBE)

Data for a relaxed structure of LaAuC.

a b c (Å): 7.0310 7.8795 4.0759
angles (deg): 90.00 90.00 90.00
Last column: nearest neighbours and their distance in Å.
Element x y z (fractional)
Au (0.3340, 0.7500, 0.0000)  3 C 2.35
Au (0.8340, 0.7500, 0.5000)  3 C 2.35
Au (0.1660, 0.2500, 0.5000)  3 C 2.35
Au (0.6660, 0.2500, 0.0000)  3 C 2.35
C (0.8316, 0.2500, 0.5000)  3 Au 2.35
C (0.6684, 0.7500, 0.0000)  3 Au 2.35
C (0.1684, 0.7500, 0.5000)  3 Au 2.35
C (0.3316, 0.2500, 0.0000)  3 Au 2.35
La (0.5000, 0.0000, 0.5000)  6 C 3.05-3.07, 6 Au 3.07
La (0.0000, 0.0000, 0.0000)  6 C 3.05-3.07, 6 Au 3.07
La (0.0000, 0.5000, 0.0000)  6 C 3.05-3.07, 6 Au 3.07
La (0.5000, 0.5000, 0.5000)  6 C 3.05-3.07, 6 Au 3.07

Results
ΔH_f (0 K), eV/atom: 0.1961
E, eV per atom: -5.61
Space-group type: No. 63
DOS at the Fermi energy, states/eV per atom: 0.126

Entry 2:
## La2PmTmHg2 (PBE)

Data for a relaxed structure of La2PmTmHg2.

a b c (Å): 5.1643 7.3280 9.6386
angles (deg): 90.00 90.00 90.00
Last column: nearest neighbours and their distance in Å.
Element x y z (fractional)
La (0.0000, 0.3361, 0.1712)  4 Hg 3.16-3.26
La (0.5000, 0.5213, 0.9415)  3 Hg 3.33-3.44, 4 La 3.63-3.66, 1 Tm 3.63
La (0.0000, 0.8361, 0.8288)  4 Hg 3.16-3.26
La (0.5000, 0.0213, 0.0585)  3 Hg 3.33-3.44, 4 La 3.63-3.66, 1 Tm 3.63
Hg (0.5000, 0.7551, 0.6321)  2 Tm 3.01-3.09, 2 La 3.26, 2 Pm 3.30
Hg (0.0000, 0.7676, 0.1620)  2 Tm 3.11, 4 La 3.16-3.33, 1 Pm 3.18
Hg (0.0000, 0.2676, 0.8380)  2 Tm 3.11, 4 La 3.16-3.33, 1 Pm 3.18
Hg (0.5000, 0.2551, 0.3679)  2 Tm 3.01-3.09, 2 La 3.26, 2 Pm 3.30
Pm (0.0000, 0.9927, 0.4435)  3 Hg 3.18-3.30
Pm (0.0000, 0.4927, 0.5565)  3 Hg 3.18-3.30
Tm (0.5000, 0.1728, 0.6738)  4 Hg 3.01-3.11
Tm (0.5000, 0.6728, 0.3262)  4 Hg 3.01-3.11

Results
ΔH_f (0 K), eV/atom: -0.3376
E, eV per atom: -3.62
Space-group type: No. 26
DOS at the Fermi energy, states/eV per atom: 0.708

Entry 3:
## ZrScCl4 (PBE)

Data for a relaxed structure of ZrScCl4.

a b c (Å): 5.7890 5.7890 5.7890
angles (deg): 60.00 60.00 60.00
Last column: nearest neighbours and their distance in Å.
Element x y z (fractional)
Cl (0.3749, 0.3749, 0.3749)  6 Cl 2.89-2.90
Cl (0.3749, 0.3749, 0.8754)  6 Cl 2.89-2.90
Cl (0.8754, 0.3749, 0.3749)  6 Cl 2.89-2.90
Cl (0.3749, 0.8754, 0.3749)  6 Cl 2.89-2.90
Zr (0.0000, 0.0000, 0.0000)  12 Cl 3.39, 4 Sc 3.55
Sc (0.7500, 0.7500, 0.7500)  12 Cl 3.39, 4 Zr 3.55

Results
E, eV per atom: -3.59
E_form (uncorrected), meV per atom: 123
Space-group type: No. 216
DOS at the Fermi energy, states/eV per atom: 1.319

Q: Which of these has the highest E?
A: ZrScCl4